Record 1
SrSiOF2 (GGA-PBE, relaxed); distance to the lowest polymorph of the same formula = 0.731 eV/atom; symmetry = No. 123; DOS(E_F) = 0.07 states/eV per atom; total DFT energy (no corrections) = -4.59 eV per atom
1.0
-1.0613 1.8265 3.9653
2.6371 -2.9840 2.0803
3.8301 3.1030 -0.4042
F Sr Si O
2 1 1 1
Direct
0.5000 0.0000 0.0000 F
0.0000 0.5000 0.0000 F
0.0000 0.0000 0.0000 Sr
0.5000 0.5000 0.5000 Si
0.0000 0.0000 0.5000 O

Record 2
SrSiOF2 (GGA-PBE, relaxed); distance to the lowest polymorph of the same formula = 0.000 eV/atom; symmetry = No. 123; DOS(E_F) = 0.09 states/eV per atom; total DFT energy (no corrections) = -5.32 eV per atom
1.0
-3.6401 -2.5159 -0.1215
1.0227 -1.6714 3.9693
-2.0058 2.8198 1.7041
Si Sr O F
1 1 1 2
Direct
0.0000 0.0000 0.0000 Si
0.5000 0.5000 0.5000 Sr
0.0000 0.0000 0.5000 O
0.0000 0.5000 0.0000 F
0.5000 0.0000 0.0000 F

Record 3
TaSiO2F (GGA-PBE, relaxed); symmetry = No. 123; DOS(E_F) = 0.74 states/eV per atom; total DFT energy (no corrections) = -6.55 eV per atom
1.0
3.3233 0.0000 0.0000
0.0000 3.3233 0.0000
0.0000 0.0000 6.8504
O Si Ta F
2 1 1 1
Direct
0.0000 0.5000 0.0000 O
0.5000 0.0000 0.0000 O
0.0000 0.0000 0.0000 Si
0.5000 0.5000 0.5000 Ta
0.0000 0.0000 0.5000 F

Record 4
TaSiO2F (GGA-PBE, relaxed); symmetry = No. 123; DOS(E_F) = 0.61 states/eV per atom; total DFT energy (no corrections) = -7.24 eV per atom
1.0
-0.5060 1.3168 -3.7317
-3.7453 -1.3739 0.0231
-1.3684 3.7557 1.5108
Si O F Ta
1 2 1 1
Direct
0.5000 0.5000 0.5000 Si
0.0000 0.5000 0.0000 O
0.5000 0.0000 0.0000 O
0.0000 0.0000 0.5000 F
0.0000 0.0000 0.0000 Ta

Record 5
SiTcO2F (GGA-PBE, relaxed); symmetry = No. 123; DOS(E_F) = 0.57 states/eV per atom; total DFT energy (no corrections) = -6.17 eV per atom
1.0
3.8595 0.0000 0.0000
0.0000 3.8595 0.0000
0.0000 0.0000 4.3666
Si Tc O F
1 1 2 1
Direct
0.5000 0.5000 0.5000 Si
0.0000 0.0000 0.0000 Tc
0.5000 0.0000 0.0000 O
0.0000 0.5000 0.0000 O
0.0000 0.0000 0.5000 F

Record 6
SiTcO2F (GGA-PBE, relaxed); symmetry = No. 123; DOS(E_F) = 0.32 states/eV per atom; total DFT energy (no corrections) = -6.36 eV per atom
1.0
-1.2814 0.9092 3.1753
-3.2160 0.4326 -1.4217
-0.9323 -4.2073 0.8286
Si O Tc F
1 2 1 1
Direct
0.0000 0.0000 0.0000 Si
0.5000 0.0000 0.0000 O
0.0000 0.5000 0.0000 O
0.5000 0.5000 0.5000 Tc
0.0000 0.0000 0.5000 F

Record 7
ThSiO4F (GGA-PBE, relaxed); symmetry = No. 12; DOS(E_F) = 0.45 states/eV per atom; total DFT energy (no corrections) = -7.95 eV per atom
1.0
-0.8290 -0.6581 -5.9248
-4.9783 -3.3237 -0.6272
-4.7485 4.5847 -1.4123
O F Th Si
8 2 2 2
Direct
0.5310 0.5310 0.2248 O
0.8743 0.5220 0.8443 O
0.7167 0.7167 0.4803 O
0.1257 0.4780 0.1557 O
0.5220 0.8743 0.8443 O
0.4780 0.1257 0.1557 O
0.4690 0.4690 0.7752 O
0.2833 0.2833 0.5197 O
0.9854 0.9854 0.8194 F
0.0146 0.0146 0.1806 F
0.2167 0.2167 0.8765 Th
0.7833 0.7833 0.1235 Th
0.6450 0.6450 0.7285 Si
0.3550 0.3550 0.2715 Si

Record 8
TiSiOF2 (GGA-PBE, relaxed); distance to the lowest polymorph of the same formula = 0.000 eV/atom; symmetry = No. 123; DOS(E_F) = 0.90 states/eV per atom; total DFT energy (no corrections) = -6.12 eV per atom
1.0
-1.4865 1.2902 3.6346
-3.8068 -1.1161 -1.1608
0.5748 -3.4959 1.4760
O F Ti Si
1 2 1 1
Direct
0.0000 0.0000 0.5000 O
0.0000 0.5000 0.0000 F
0.5000 0.0000 0.0000 F
0.0000 0.0000 0.0000 Ti
0.5000 0.5000 0.5000 Si

Record 9
TiSiOF2 (GGA-PBE, relaxed); distance to the lowest polymorph of the same formula = 0.488 eV/atom; symmetry = No. 123; DOS(E_F) = 0.80 states/eV per atom; total DFT energy (no corrections) = -5.63 eV per atom
1.0
-4.1998 -0.8567 1.0859
0.4094 -4.0858 -1.6402
1.0241 -1.1296 3.0695
Ti Si O F
1 1 1 2
Direct
0.5000 0.5000 0.5000 Ti
0.0000 0.0000 0.0000 Si
0.0000 0.0000 0.5000 O
0.5000 0.0000 0.0000 F
0.0000 0.5000 0.0000 F

Record 10
Y4TiSi2O9F6 (GGA-PBE, relaxed); symmetry = No. 63; DOS(E_F) = 0.00 states/eV per atom; total DFT energy (no corrections) = -8.10 eV per atom
1.0
-7.9974 1.1366 -4.4604
0.8676 -8.8571 2.4381
-3.2537 1.3843 6.1865
Ti Si F Y O
2 4 12 8 18
Direct
0.0000 0.0000 0.5000 Ti
0.0000 0.0000 0.0000 Ti
0.7229 0.0367 0.7500 Si
0.2771 0.9633 0.2500 Si
0.0367 0.7229 0.7500 Si
0.9633 0.2771 0.2500 Si
0.5884 0.5884 0.7500 F
0.2459 0.5289 0.5617 F
0.4116 0.4116 0.2500 F
0.5289 0.2459 0.5617 F
0.7541 0.4711 0.4383 F
0.4711 0.7541 0.4383 F
0.5289 0.2459 0.9383 F
0.7541 0.4711 0.0617 F
0.6989 0.6989 0.2500 F
0.4711 0.7541 0.0617 F
0.3011 0.3011 0.7500 F
0.2459 0.5289 0.9383 F
0.7110 0.4182 0.7500 Y
0.0758 0.3369 0.7500 Y
0.2890 0.5818 0.2500 Y
0.6631 0.9242 0.2500 Y
0.9242 0.6631 0.2500 Y
0.5818 0.2890 0.2500 Y
0.4182 0.7110 0.7500 Y
0.3369 0.0758 0.7500 Y
0.7767 0.1941 0.2500 O
0.7790 0.9678 0.5571 O
0.8059 0.2233 0.7500 O
0.1941 0.7767 0.2500 O
0.2210 0.0322 0.4429 O
0.4654 0.0283 0.2500 O
0.9717 0.5346 0.7500 O
0.0283 0.4654 0.2500 O
0.9383 0.9383 0.2500 O
0.7790 0.9678 0.9429 O
0.2210 0.0322 0.0571 O
0.0322 0.2210 0.0571 O
0.5346 0.9717 0.7500 O
0.2233 0.8059 0.7500 O
0.9678 0.7790 0.5571 O
0.0322 0.2210 0.4429 O
0.9678 0.7790 0.9429 O
0.0617 0.0617 0.7500 O

Record 11
TlSiO2F (GGA-PBE, relaxed); symmetry = No. 123; DOS(E_F) = 0.03 states/eV per atom; total DFT energy (no corrections) = -4.12 eV per atom
1.0
-1.7880 -3.5855 1.5896
3.0546 -0.1773 3.0360
-2.4832 2.4084 2.6391
F O Tl Si
1 2 1 1
Direct
0.0000 0.0000 0.5000 F
0.0000 0.5000 0.0000 O
0.5000 0.0000 0.0000 O
0.0000 0.0000 0.0000 Tl
0.5000 0.5000 0.5000 Si

Record 12
TlSiO2F (GGA-PBE, relaxed); symmetry = No. 123; DOS(E_F) = 0.07 states/eV per atom; total DFT energy (no corrections) = -5.53 eV per atom
1.0
3.5479 0.0000 0.0000
0.0000 3.5479 0.0000
0.0000 0.0000 4.8511
Tl F Si O
1 1 1 2
Direct
0.5000 0.5000 0.5000 Tl
0.0000 0.0000 0.5000 F
0.0000 0.0000 0.0000 Si
0.5000 0.0000 0.0000 O
0.0000 0.5000 0.0000 O

Record 13
USiO4F (GGA-PBE, relaxed); symmetry = No. 12; DOS(E_F) = 0.12 states/eV per atom; total DFT energy (no corrections) = -8.54 eV per atom
1.0
-0.6314 -1.5683 -5.4367
-4.8022 -3.0520 -0.2012
-4.6344 4.3490 -2.4596
O Si U F
8 2 2 2
Direct
0.2631 0.2631 0.5268 O
0.7369 0.7369 0.4732 O
0.4822 0.1063 0.1653 O
0.8937 0.5178 0.8347 O
0.5357 0.5357 0.2295 O
0.1063 0.4822 0.1653 O
0.5178 0.8937 0.8347 O
0.4643 0.4643 0.7705 O
0.3478 0.3478 0.2790 Si
0.6522 0.6522 0.7210 Si
0.7760 0.7760 0.1552 U
0.2240 0.2240 0.8448 U
0.9820 0.9820 0.8297 F
0.0180 0.0180 0.1703 F